[1]
Computed, not measured: SrTmPdPt after structural relaxation at the PBE-GGA level of DFT.

Unit cell a=7.1108 b=7.1108 c=7.1108 alpha=90.00 beta=90.00 gamma=90.00
Closest atoms and distances in Å follow each position.
Space group F-43m (No. 216)
One atom of each set of equivalent atoms:
Sr 0.0000 0.0000 0.0000 x4  4 Pd 3.08, 4 Pt 3.08
Tm 0.0000 0.0000 0.5000 x4  4 Pd 3.08, 4 Pt 3.08
Pd 0.2500 0.2500 0.2500 x4  4 Tm 3.08, 4 Sr 3.08
Pt 0.2500 0.2500 0.7500 x4  4 Tm 3.08, 4 Sr 3.08

Properties
Electronic total energy: -5.15 eV/atom
DOS at the Fermi energy: 2.9 states/eV/f.u.
M_tot: 0.000 μB/atom

[2]
Computed, not measured: BeTlZnIrBr after structural relaxation at the PBE-GGA level of DFT.

Unit cell a=6.6327 b=3.8314 c=8.5135 alpha=90.00 beta=105.02 gamma=90.00
Closest atoms and distances in Å follow each position.
Space group Cm (No. 8)
One atom of each set of equivalent atoms:
Be 0.0000 0.0000 0.0000 x2  3 Ir 2.25, 3 Zn 2.46
Tl 0.4293 0.0000 0.2894 x2  3 Ir 2.95, 3 Br 3.21, 3 Be 3.25
Zn 0.2898 0.0000 0.8688 x2  1 Br 2.44, 3 Be 2.46, 3 Ir 2.67-2.68
Ir 0.1839 0.5000 0.0518 x2  3 Be 2.25
Br 0.1898 0.0000 0.5720 x2  1 Zn 2.44

Properties
Electronic total energy: -3.75 eV/atom
Offset from the most stable computed form: 0.00 eV/f.u.
DOS at the Fermi energy: 1.0 states/eV/f.u.
Uncorrected formation energy: -16.21 kJ/mol of atoms
M_tot: 0.000 μB/atom

[3]
Computed, not measured: NdPF after structural relaxation at the PBE-GGA level of DFT.

Unit cell a=9.7646 b=4.0051 c=6.9353 alpha=90.00 beta=111.04 gamma=90.00
Closest atoms and distances in Å follow each position.
Space group C2/m (No. 12)
One atom of each set of equivalent atoms:
Nd 0.1888 0.0000 0.2294 x4  3 F 2.42-2.44
P 0.0507 0.5000 0.8813 x4  1 P 2.20
F 0.1974 0.0000 0.5852 x4  3 Nd 2.42-2.44, 2 F 2.71

Properties
Electronic total energy: -6.41 eV/atom
Offset from the most stable computed form: 0.00 eV/f.u.
DOS at the Fermi energy: 0.2 states/eV/f.u.
Uncorrected formation energy: -230.98 kJ/mol of atoms
M_tot: 0.000 μB/atom

[4]
Computed, not measured: Zn2Ni6Rh after structural relaxation at the PBE-GGA level of DFT.

Unit cell a=7.3226 b=4.9380 c=6.4713 alpha=90.00 beta=108.34 gamma=90.00
Closest atoms and distances in Å follow each position.
Space group C2/m (No. 12)
One atom of each set of equivalent atoms:
Zn 0.1715 0.0000 0.0883 x4  1 Zn 2.41, 3 Ni 2.45-2.62, 1 Rh 2.64
Ni 0.0527 0.2368 0.6921 x8  7 Ni 2.34-2.60, 1 Zn 2.45, 1 Rh 2.51
Ni 0.2374 0.5000 0.4861 x4  10 Ni 2.45-2.56, 1 Zn 2.62
Rh 0.0000 0.5000 0.0000 x2  4 Ni 2.51, 6 Zn 2.64-2.75

Properties
Electronic total energy: -4.92 eV/atom
Offset from the most stable computed form: 1.19 eV/f.u.
DOS at the Fermi energy: 14.6 states/eV/f.u.
M_tot: 0.380 μB/atom

[5]
Computed, not measured: LiNiN after structural relaxation at the PBE-GGA level of DFT.

Unit cell a=4.6254 b=2.8170 c=4.7767 alpha=90.00 beta=105.48 gamma=90.00
Closest atoms and distances in Å follow each position.
Space group P2/m (No. 10)
One atom of each set of equivalent atoms:
Li 0.0000 0.0000 0.0000 x1  2 N 1.95
Li 0.5000 0.5000 0.0000 x1  4 N 2.08
Ni 0.0000 0.5000 0.5000 x1  4 N 1.93
Ni 0.5000 0.0000 0.5000 x1  2 N 1.80
N 0.2413 0.0000 0.7215 x2  3 Ni 1.80-1.93, 1 Li 1.95

Properties
Electronic total energy: -5.47 eV/atom
DOS at the Fermi energy: 1.8 states/eV/f.u.
Uncorrected formation energy: -12.52 kJ/mol of atoms
M_tot: 0.000 μB/atom

[6]
Computed, not measured: LiMgScPb after structural relaxation at the PBE-GGA level of DFT.

Unit cell a=7.0846 b=7.0846 c=7.0846 alpha=90.00 beta=90.00 gamma=90.00
Closest atoms and distances in Å follow each position.
Space group F-43m (No. 216)
One atom of each set of equivalent atoms:
Li 0.0000 0.0000 0.0000 x4  4 Pb 3.07, 4 Mg 3.07
Mg 0.2500 0.2500 0.7500 x4  4 Li 3.07, 4 Sc 3.07
Sc 0.0000 0.0000 0.5000 x4  4 Pb 3.07, 4 Mg 3.07
Pb 0.2500 0.2500 0.2500 x4  4 Li 3.07, 4 Sc 3.07

Properties
Electronic total energy: -3.60 eV/atom
Offset from the most stable computed form: 0.27 eV/f.u.
DOS at the Fermi energy: 1.5 states/eV/f.u.
M_tot: 0.000 μB/atom

[7]
Computed, not measured: Tb2PmPd after structural relaxation at the PBE-GGA level of DFT.

Unit cell a=3.7167 b=3.7167 c=29.4459 alpha=90.00 beta=90.00 gamma=120.00
Closest atoms and distances in Å follow each position.
Space group R-3m (No. 166, hexagonal axes)
One atom of each set of equivalent atoms:
Tb 0.0000 0.0000 0.2314 x6  3 Pd 2.87
Pm 0.0000 0.0000 0.0000 x3  6 Tb 3.69, 6 Pm 3.72
Pd 0.0000 0.0000 0.5000 x3  6 Tb 2.87

Properties
Electronic total energy: -5.10 eV/atom
Offset from the most stable computed form: 0.63 eV/f.u.
DOS at the Fermi energy: 4.1 states/eV/f.u.
M_tot: 0.000 μB/atom

[8]
Computed, not measured: Ga3CoNi2 after structural relaxation at the PBE-GGA level of DFT.

Unit cell a=2.8953 b=2.8953 c=8.7981 alpha=90.00 beta=90.00 gamma=90.00
Closest atoms and distances in Å follow each position.
Space group P4/mmm (No. 123)
One atom of each set of equivalent atoms:
Ga 0.0000 0.0000 0.0000 x1  8 Ni 2.53
Ga 0.0000 0.0000 0.3361 x2  4 Co 2.50, 4 Ni 2.52
Co 0.5000 0.5000 0.5000 x1  8 Ga 2.50
Ni 0.5000 0.5000 0.1691 x2  8 Ga 2.52-2.53

Properties
Electronic total energy: -4.95 eV/atom
DOS at the Fermi energy: 3.4 states/eV/f.u.
M_tot: 0.073 μB/atom

[9]
Computed, not measured: LiTbIn2Pd4 after structural relaxation at the PBE-GGA level of DFT.

Unit cell a=4.6554 b=4.6554 c=23.0582 alpha=90.00 beta=90.00 gamma=120.00
Closest atoms and distances in Å follow each position.
Space group R-3m (No. 166, hexagonal axes)
One atom of each set of equivalent atoms:
Li 0.0000 0.0000 0.0000 x3  8 Pd 2.66-2.86
Tb 0.0000 0.0000 0.5000 x3  8 Pd 2.88-2.94
In 0.0000 0.0000 0.2549 x6  7 Pd 2.77-2.82
Pd 0.0000 0.0000 0.1152 x6  1 Li 2.66, 3 In 2.82, 3 Tb 2.94
Pd 0.0000 0.0000 0.3751 x6  4 In 2.77-2.82, 3 Li 2.86, 1 Tb 2.88

Properties
Electronic total energy: -4.78 eV/atom
DOS at the Fermi energy: 3.2 states/eV/f.u.
M_tot: 0.000 μB/atom

[10]
Computed, not measured: Pu4ZnAu3 after structural relaxation at the PBE-GGA level of DFT.

Unit cell a=3.1466 b=5.4612 c=10.9127 alpha=90.00 beta=90.00 gamma=90.00
Closest atoms and distances in Å follow each position.
Space group Pmmm (No. 47)
One atom of each set of equivalent atoms:
Pu 0.0000 0.0000 0.0000 x1  4 Au 3.13, 2 Pu 3.15, 4 Zn 3.15
Pu 0.0000 0.0000 0.5000 x1  2 Pu 3.15, 8 Au 3.15-3.17
Pu 0.0000 0.5000 0.2493 x2  2 Zn 3.14, 2 Pu 3.15, 6 Au 3.15-3.16
Zn 0.5000 0.5000 0.0000 x1  8 Pu 3.14-3.15, 2 Zn 3.15
Au 0.5000 0.0000 0.2482 x2  8 Pu 3.13-3.17, 2 Au 3.15
Au 0.5000 0.5000 0.5000 x1  2 Au 3.15, 8 Pu 3.15-3.16

Properties
Electronic total energy: -8.87 eV/atom
DOS at the Fermi energy: 34.9 states/eV/f.u.
M_tot: 0.002 μB/atom

[11]
Computed, not measured: Li5B8C8 after structural relaxation at the PBE-GGA level of DFT.

Unit cell a=2.7320 b=2.7320 c=27.4288 alpha=90.00 beta=90.00 gamma=120.00
Closest atoms and distances in Å follow each position.
Space group P3m1 (No. 156)
One atom of each set of equivalent atoms:
Li 0.0000 0.0000 0.0000 x1  6 C 2.35-2.38, 6 B 2.36-2.38
Li 0.0000 0.0000 0.1284 x1  6 C 2.35-2.38, 6 B 2.35-2.38
Li 0.0000 0.0000 0.2569 x1  6 C 2.35-2.36, 6 B 2.35-2.41
Li 0.0000 0.0000 0.6305 x1  6 C 2.33-2.35, 6 B 2.37-2.39
Li 0.0000 0.0000 0.8700 x1  6 C 2.33-2.41, 6 B 2.38-2.40
B 0.3333 0.6667 0.0648 x1  3 C 1.58
B 0.3333 0.6667 0.3234 x1  3 C 1.58
B 0.3333 0.6667 0.5661 x1  3 C 1.58
B 0.3333 0.6667 0.8049 x1  3 C 1.58
B 0.6667 0.3333 0.1932 x1  3 C 1.58
B 0.6667 0.3333 0.4075 x1  3 C 1.58
B 0.6667 0.3333 0.6962 x1  3 C 1.58
B 0.6667 0.3333 0.9360 x1  3 C 1.58
C 0.3333 0.6667 0.1933 x1  3 B 1.58
C 0.3333 0.6667 0.4083 x1  3 B 1.58
C 0.3333 0.6667 0.6941 x1  3 B 1.58
C 0.3333 0.6667 0.9364 x1  3 B 1.58
C 0.6667 0.3333 0.0649 x1  3 B 1.58
C 0.6667 0.3333 0.3207 x1  3 B 1.58
C 0.6667 0.3333 0.5681 x1  3 B 1.58
C 0.6667 0.3333 0.8074 x1  3 B 1.58

Properties
Electronic total energy: -6.62 eV/atom
Offset from the most stable computed form: 0.88 eV/f.u.
DOS at the Fermi energy: 2.7 states/eV/f.u.
M_tot: 0.000 μB/atom

[12]
Computed, not measured: Sr2ScGaO5 after structural relaxation at the PBE-GGA level of DFT.

Unit cell a=15.2814 b=5.9785 c=5.7501 alpha=90.00 beta=90.00 gamma=90.00
Closest atoms and distances in Å follow each position.
Space group Ima2 (No. 46)
One atom of each set of equivalent atoms:
Sr 0.1115 0.0218 0.0000 x8  7 O 2.52-2.76
Sc 0.0000 0.0000 0.5066 x4  6 O 2.07-2.24
Ga 0.2500 0.5726 0.9757 x4  4 O 1.84-1.93
O 0.0116 0.7463 0.7547 x8  2 Sc 2.07-2.09
O 0.1442 0.0658 0.5300 x8  1 Ga 1.84
O 0.2500 0.6539 0.6504 x4  2 Ga 1.92-1.93

Properties
Electronic total energy: -6.98 eV/atom
Offset from the most stable computed form: 0.00 eV/f.u.
DOS at the Fermi energy: 0.0 states/eV/f.u.
Uncorrected formation energy: -271.43 kJ/mol of atoms
M_tot: 0.000 μB/atom